w | Computed, not measured: a geometry-optimized NaCaY structure at the PBE-GGA level of DFT.

The total moment is 0.089 μB per atom. The calculation puts the calculated volume at 36.859 A^3/atom.

Unit cell a=6.8394 b=6.8394 c=15.4410 alpha=38.57 beta=38.57 gamma=31.70
Sites, in units of the cell vectors:
Na1 0.3174 0.3174 0.4962
Na2 0.4357 0.4357 0.8111
Ca1 0.1197 0.1197 0.8652
Ca2 0.6334 0.6334 0.4422
Y1 0.2132 0.2132 0.1809
Y2 0.5401 0.5401 0.1265


x | Computed, not measured: a geometry-optimized NaCaY structure at the PBE-GGA level of DFT.

The total moment is 0.073 μB per atom. The calculation puts the calculated volume at 36.369 A^3/atom.

Unit cell a=3.6792 b=3.6792 c=9.3070 alpha=90.00 beta=90.00 gamma=120.00
Sites, in units of the cell vectors:
Ca1 0.3333 0.6667 0.6574
Na1 0.0000 0.0000 0.0063
Y1 0.6667 0.3333 0.3363


Stability check: which of them is most stable? x.


w | Computed, not measured: a geometry-optimized NaCa3Y structure at the PBE-GGA level of DFT.

The total moment is 0.295 μB per atom. The calculation puts the calculated volume at 41.263 A^3/atom.

Unit cell a=5.9090 b=5.9090 c=5.9090 alpha=90.00 beta=90.00 gamma=90.00
Sites, in units of the cell vectors:
Ca1 0.5000 0.0000 0.0000
Ca2 0.0000 0.5000 0.0000
Y1 0.5000 0.5000 0.5000
Ca3 0.0000 0.0000 0.5000
Na1 0.0000 0.0000 0.0000


x | Computed, not measured: a geometry-optimized NaCa3Y structure at the PBE-GGA level of DFT.

The total moment is 0.675 μB per atom. The calculation puts the calculated volume at 51.582 A^3/atom.

Unit cell a=6.3654 b=6.3654 c=6.3654 alpha=90.00 beta=90.00 gamma=90.00
Sites, in units of the cell vectors:
Y1 0.0000 0.0000 0.0000
Ca1 0.0000 0.5000 0.0000
Ca2 0.0000 0.0000 0.5000
Na1 0.5000 0.5000 0.5000
Ca3 0.5000 0.0000 0.0000


Stability check: which of them is most stable? w.


w | Computed, not measured: a geometry-optimized NaCaZn2 structure at the PBE-GGA level of DFT.

The total moment is 0.000 μB per atom. The calculation puts the calculated volume at 26.096 A^3/atom.

Unit cell a=8.1271 b=8.1271 c=6.5586 alpha=51.72 beta=51.72 gamma=90.00
Sites, in units of the cell vectors:
Na1 0.5000 0.5000 0.0000
Zn1 0.8750 0.8611 0.7500
Na2 0.2500 0.7500 0.5000
Zn2 0.1389 0.6250 0.2500
Ca1 0.0000 0.0000 0.0000
Zn3 0.3750 0.3889 0.7500
Zn4 0.6111 0.1250 0.2500
Ca2 0.7500 0.2500 0.5000


x | Computed, not measured: a geometry-optimized NaCaZn2 structure at the PBE-GGA level of DFT.

The total moment is 0.000 μB per atom. The calculation puts the calculated volume at 24.211 A^3/atom.

Unit cell a=5.1546 b=5.1546 c=5.1546 alpha=60.00 beta=60.00 gamma=60.00
Sites, in units of the cell vectors:
Na1 0.0000 0.0000 0.0000
Zn1 0.2500 0.2500 0.2500
Zn2 0.7500 0.7500 0.7500
Ca1 0.5000 0.5000 0.5000


y | Computed, not measured: a geometry-optimized NaCaZn2 structure at the PBE-GGA level of DFT.

The total moment is 0.000 μB per atom. The calculation puts the calculated volume at 24.157 A^3/atom.

Unit cell a=3.6481 b=3.6481 c=7.2605 alpha=90.00 beta=90.00 gamma=90.00
Sites, in units of the cell vectors:
Zn1 0.0000 0.0000 0.7449
Ca1 0.5000 0.5000 0.0000
Zn2 0.0000 0.0000 0.2551
Na1 0.5000 0.5000 0.5000


Stability check: which of them is most stable? y.


w | Computed, not measured: a geometry-optimized NaCa2Zn2 structure at the PBE-GGA level of DFT.

The total moment is 0.000 μB per atom. The calculation puts the calculated volume at 29.613 A^3/atom.

Unit cell a=5.8257 b=5.8257 c=6.0002 alpha=60.96 beta=60.96 gamma=90.00
Sites, in units of the cell vectors:
Ca1 0.7500 0.2500 0.5000
Zn1 0.6377 0.6377 0.7246
Ca2 0.2500 0.7500 0.5000
Zn2 0.3623 0.3623 0.2754
Na1 0.0000 0.0000 0.0000


x | Computed, not measured: a geometry-optimized NaCa2Zn2 structure at the PBE-GGA level of DFT.

The total moment is 0.000 μB per atom. The calculation puts the calculated volume at 28.011 A^3/atom.

Unit cell a=8.8710 b=8.8710 c=3.5595 alpha=90.00 beta=90.00 gamma=90.00
Sites, in units of the cell vectors:
Ca1 0.6412 0.1412 0.0000
Ca2 0.1412 0.3588 0.0000
Zn1 0.1521 0.6521 0.5000
Zn2 0.3479 0.1521 0.5000
Na1 0.0000 0.0000 0.0000
Ca3 0.8588 0.6412 0.0000
Na2 0.5000 0.5000 0.0000
Ca4 0.3588 0.8588 0.0000
Zn3 0.6521 0.8479 0.5000
Zn4 0.8479 0.3479 0.5000


y | Computed, not measured: a geometry-optimized NaCa2Zn2 structure at the PBE-GGA level of DFT.

The total moment is 0.000 μB per atom. The calculation puts the calculated volume at 30.902 A^3/atom.

Unit cell a=3.8420 b=3.8420 c=10.8140 alpha=79.77 beta=79.77 gamma=90.00
Sites, in units of the cell vectors:
Ca1 0.3687 0.3687 0.2626
Zn1 0.7500 0.2500 0.5000
Zn2 0.2500 0.7500 0.5000
Na1 0.0000 0.0000 0.0000
Ca2 0.6313 0.6313 0.7374


Stability check: which of them is most stable? x.


w | Computed, not measured: a geometry-optimized NaCa2Zn2 structure at the PBE-GGA level of DFT.

The total moment is 0.000 μB per atom. The calculation puts the calculated volume at 27.752 A^3/atom.

Unit cell a=8.2005 b=8.2005 c=4.1269 alpha=90.00 beta=90.00 gamma=90.00
Sites, in units of the cell vectors:
Na1 0.5000 0.5000 0.0000
Ca1 0.1715 0.6715 0.5000
Zn1 0.1170 0.3830 0.0000
Zn2 0.3830 0.8830 0.0000
Zn3 0.8830 0.6170 0.0000
Zn4 0.6170 0.1170 0.0000
Ca2 0.8285 0.3285 0.5000
Na2 0.0000 0.0000 0.0000
Ca3 0.6715 0.8285 0.5000
Ca4 0.3285 0.1715 0.5000


x | Computed, not measured: a geometry-optimized NaCa2Zn2 structure at the PBE-GGA level of DFT.

The total moment is 0.000 μB per atom. The calculation puts the calculated volume at 28.825 A^3/atom.

Unit cell a=4.0680 b=4.4173 c=8.3190 alpha=105.40 beta=90.00 gamma=90.00
Sites, in units of the cell vectors:
Ca1 0.5000 0.6440 0.2880
Zn1 0.0000 0.7944 0.5887
Ca2 0.5000 0.3560 0.7120
Na1 0.0000 0.0000 0.0000
Zn2 0.0000 0.2056 0.4113


Stability check: which of them is most stable? x.


w | Computed, not measured: a geometry-optimized NaCa4Zn structure at the PBE-GGA level of DFT.

The total moment is 0.000 μB per atom. The calculation puts the calculated volume at 36.085 A^3/atom.

Unit cell a=6.2070 b=7.5065 c=10.3371 alpha=90.00 beta=115.96 gamma=90.00
Sites, in units of the cell vectors:
Na1 0.2952 0.2500 0.0718
Ca1 0.9360 0.0112 0.2618
Ca2 0.4165 0.7500 0.5531
Zn1 0.8299 0.7500 0.4585
Ca3 0.0640 0.9888 0.7382
Na2 0.7048 0.7500 0.9282
Ca4 0.9360 0.4888 0.2618
Ca5 0.5835 0.2500 0.4469
Ca6 0.3659 0.7500 0.1535
Zn2 0.1701 0.2500 0.5415
Ca7 0.0640 0.5112 0.7382
Ca8 0.6341 0.2500 0.8465


x | Computed, not measured: a geometry-optimized NaCa4Zn structure at the PBE-GGA level of DFT.

The total moment is 0.000 μB per atom. The calculation puts the calculated volume at 38.827 A^3/atom.

Unit cell a=7.8215 b=7.6469 c=7.8622 alpha=90.00 beta=97.76 gamma=90.00
Sites, in units of the cell vectors:
Zn1 0.0000 0.5000 0.5000
Na1 0.5000 0.5000 0.0000
Ca1 0.8101 0.1651 0.3744
Zn2 0.5000 0.0000 0.5000
Ca2 0.6899 0.6651 0.6256
Ca3 0.6066 0.1361 0.8361
Ca4 0.3934 0.8639 0.1639
Na2 0.0000 0.0000 0.0000
Ca5 0.1066 0.3639 0.8361
Ca6 0.3100 0.3349 0.3744
Ca7 0.1900 0.8349 0.6256
Ca8 0.8934 0.6361 0.1639


Stability check: which of them is most stable? w.


w | Computed, not measured: a geometry-optimized Na2CaZn2 structure at the PBE-GGA level of DFT.

The total moment is 0.000 μB per atom. The calculation puts the calculated volume at 27.449 A^3/atom.

Unit cell a=5.2687 b=5.2687 c=6.1907 alpha=64.82 beta=64.82 gamma=90.00
Sites, in units of the cell vectors:
Na1 0.3608 0.3608 0.2785
Na2 0.6392 0.6392 0.7215
Ca1 0.0000 0.0000 0.0000
Zn1 0.7500 0.2500 0.5000
Zn2 0.2500 0.7500 0.5000


x | Computed, not measured: a geometry-optimized Na2CaZn2 structure at the PBE-GGA level of DFT.

The total moment is 0.000 μB per atom. The calculation puts the calculated volume at 25.488 A^3/atom.

Unit cell a=8.5697 b=8.5697 c=3.4706 alpha=90.00 beta=90.00 gamma=90.00
Sites, in units of the cell vectors:
Na1 0.1203 0.3797 0.0000
Zn1 0.1818 0.6818 0.5000
Na2 0.3797 0.8797 0.0000
Zn2 0.3182 0.1818 0.5000
Na3 0.8797 0.6203 0.0000
Zn3 0.8182 0.3182 0.5000
Zn4 0.6818 0.8182 0.5000
Ca1 0.5000 0.5000 0.0000
Na4 0.6203 0.1203 0.0000
Ca2 0.0000 0.0000 0.0000


Stability check: which of them is most stable? x.


w | Computed, not measured: a geometry-optimized Na2CaZn structure at the PBE-GGA level of DFT.

The total moment is 0.000 μB per atom. The calculation puts the calculated volume at 33.596 A^3/atom.

Unit cell a=3.6132 b=3.6132 c=12.0679 alpha=81.39 beta=81.39 gamma=60.00
Sites, in units of the cell vectors:
Ca1 0.0000 0.0000 0.0000
Na1 0.9004 0.9004 0.2987
Na2 0.0996 0.0996 0.7013
Zn1 0.5000 0.5000 0.5000


x | Computed, not measured: a geometry-optimized Na2CaZn structure at the PBE-GGA level of DFT.

The total moment is 0.000 μB per atom. The calculation puts the calculated volume at 28.754 A^3/atom.

Unit cell a=5.4587 b=5.4587 c=5.4587 alpha=60.00 beta=60.00 gamma=60.00
Sites, in units of the cell vectors:
Zn1 0.5000 0.5000 0.5000
Ca1 0.0000 0.0000 0.0000
Na1 0.7500 0.7500 0.7500
Na2 0.2500 0.2500 0.2500


y | Computed, not measured: a geometry-optimized Na2CaZn structure at the PBE-GGA level of DFT.

The total moment is 0.000 μB per atom. The calculation puts the calculated volume at 29.764 A^3/atom.

Unit cell a=5.6129 b=4.6056 c=4.6056 alpha=90.00 beta=90.00 gamma=90.00
Sites, in units of the cell vectors:
Na1 0.0000 0.0000 0.5000
Ca1 0.5000 0.0000 0.0000
Na2 0.0000 0.5000 0.0000
Zn1 0.5000 0.5000 0.5000


Stability check: which of them is most stable? y.